No. 1
A crystal of ReRh relaxed with PBEsol, computed with meta-GGA SCAN.

volume	55	Å³ per cell
energy above the lowest structure with this stoichiometry	0.000	eV/atom
formation enthalpy at 0 K	-213.1	meV per atom

a b c (Å): 2.685 4.328 4.772
angles (deg): 90.00 90.00 90.00
Sites, in units of the cell vectors:
Re: 0.000 0.250 0.337
Re: 0.000 0.750 0.663
Rh: 0.500 0.250 0.836
Rh: 0.500 0.750 0.164


No. 2
A crystal of CrFe3 relaxed with PBEsol, computed with meta-GGA SCAN.

volume	43	Å³ per cell
formation enthalpy at 0 K	17.9	meV per atom

a b c (Å): 2.403 2.403 7.899
angles (deg): 90.00 90.00 108.41
Sites, in units of the cell vectors:
Cr: 0.000 0.000 0.000
Fe: 0.000 0.000 0.500
Fe: 0.500 0.500 0.249
Fe: 0.500 0.500 0.751


No. 3
A crystal of Nd5Si3 relaxed with PBEsol, computed with meta-GGA SCAN.

volume	404	Å³ per cell
energy above the lowest structure with this stoichiometry	0.000	eV/atom
formation energy (no corrections)	-641	meV per atom

a b c (Å): 7.740 8.688 7.740
angles (deg): 63.55 90.00 116.45
Sites, in units of the cell vectors:
Nd: 0.674 0.705 0.468
Nd: 0.532 0.705 0.968
Nd: 0.032 0.705 0.826
Nd: 0.826 0.295 0.674
Nd: 0.326 0.295 0.532
Nd: 0.174 0.705 0.326
Nd: 0.468 0.295 0.032
Nd: 0.500 0.000 0.500
Nd: 0.968 0.295 0.174
Nd: 0.000 0.000 0.000
Si: 0.885 0.000 0.615
Si: 0.615 0.000 0.115
Si: 0.385 0.000 0.885
Si: 0.115 0.000 0.385
Si: 0.750 0.500 0.250
Si: 0.250 0.500 0.750


No. 4
A crystal of Ta3Pb2 relaxed with PBEsol, computed with meta-GGA SCAN.

volume	110	Å³ per cell
formation enthalpy at 0 K	987.9	meV per atom

a b c (Å): 4.679 4.679 5.785
angles (deg): 90.00 90.00 120.00
Sites, in units of the cell vectors:
Pb: 0.333 0.667 0.804
Pb: 0.667 0.333 0.196
Ta: 0.000 0.000 0.000
Ta: 0.333 0.667 0.317
Ta: 0.667 0.333 0.683


No. 5
A crystal of ReNiIr relaxed with PBEsol, computed with meta-GGA SCAN.

volume	39	Å³ per cell
formation enthalpy at 0 K	-177.6	meV per atom

a b c (Å): 2.692 3.706 4.541
angles (deg): 114.08 107.24 90.00
Sites, in units of the cell vectors:
Re: 0.668 0.668 0.336
Ir: 0.001 0.001 0.001
Ni: 0.331 0.331 0.663


No. 6
A crystal of ZnCu2Au relaxed with PBEsol, computed with meta-GGA SCAN.

volume	53	Å³ per cell
formation enthalpy at 0 K	-114.7	meV per atom

a b c (Å): 2.767 3.539 5.436
angles (deg): 90.00 90.00 90.00
Sites, in units of the cell vectors:
Zn: 0.000 0.000 0.480
Au: 0.500 0.500 0.753
Cu: 0.000 0.000 0.022
Cu: 0.500 0.500 0.245


No. 7
A crystal of LaBe2Zn relaxed with PBEsol, computed with meta-GGA SCAN.

volume	67	Å³ per cell
energy above the lowest structure with this stoichiometry	0.000	eV/atom
formation enthalpy at 0 K	148.0	meV per atom

a b c (Å): 4.306 4.563 4.563
angles (deg): 63.62 61.85 61.85
Sites, in units of the cell vectors:
Be: 0.209 0.791 0.791
Be: 0.791 0.209 0.209
Zn: 0.500 0.000 0.000
La: 0.000 0.500 0.500


No. 8
A crystal of MgSn3O relaxed with PBEsol, computed with meta-GGA SCAN.

volume	143	Å³ per cell
formation energy (no corrections)	898	meV per atom

a b c (Å): 5.230 5.230 5.230
angles (deg): 90.00 90.00 90.00
Sites, in units of the cell vectors:
Mg: 0.000 0.000 0.000
Sn: 0.000 0.500 0.000
Sn: 0.000 0.000 0.500
Sn: 0.500 0.000 0.000
O: 0.500 0.500 0.500


No. 9
A crystal of InH2F relaxed with PBEsol, computed with meta-GGA SCAN.

volume	86	Å³ per cell
total DFT energy (no corrections)	-11.291	eV/atom

a b c (Å): 3.635 3.635 6.981
angles (deg): 105.09 105.09 90.00
Sites, in units of the cell vectors:
H: 0.004 0.375 0.250
H: 0.246 0.875 0.250
H: 0.625 0.754 0.750
H: 0.125 0.996 0.750
F: 0.750 0.250 0.500
F: 0.500 0.500 0.000
In: 0.250 0.750 0.500
In: 0.000 0.000 0.000


No. 10
A crystal of MnBe4W relaxed with PBEsol, computed with meta-GGA SCAN.

volume	55	Å³ per cell
formation enthalpy at 0 K	-228.1	meV per atom

a b c (Å): 4.269 4.269 4.269
angles (deg): 60.00 60.00 60.00
Sites, in units of the cell vectors:
Be: 0.374 0.374 0.374
Be: 0.374 0.374 0.877
Be: 0.877 0.374 0.374
Be: 0.374 0.877 0.374
Mn: 0.750 0.750 0.750
W: 0.000 0.000 0.000


No. 11
A crystal of TcHg2Te relaxed with PBEsol, computed with meta-GGA SCAN.

volume	87	Å³ per cell
formation energy (no corrections)	449	meV per atom

a b c (Å): 3.061 4.308 7.126
angles (deg): 107.60 102.40 90.00
Sites, in units of the cell vectors:
Hg: 0.692 0.692 0.384
Hg: 0.308 0.308 0.616
Tc: 0.000 0.500 0.000
Te: 0.500 0.000 0.000


No. 12
A crystal of CsCaZn2W relaxed with PBEsol, computed with meta-GGA SCAN.

volume	183	Å³ per cell
formation enthalpy at 0 K	2021.6	meV per atom

a b c (Å): 5.427 5.427 6.197
angles (deg): 90.00 90.00 90.00
Sites, in units of the cell vectors:
Cs: 0.000 0.000 0.500
Zn: 0.000 0.500 0.000
Zn: 0.500 0.000 0.000
Ca: 0.000 0.000 0.000
W: 0.500 0.500 0.500